# 1
LaGe2PdRu | PBE | optimized geometry

Lattice parameters (Å, degrees): 6.1494 6.1494 6.1494 139.75 139.75 58.23
Sites, in units of the cell vectors:
La: 0.0000 0.0000 0.0000
Ge: 0.3745 0.3745 0.0000
Ge: 0.6255 0.6255 0.0000
Pd: 0.7500 0.2500 0.5000
Ru: 0.2500 0.7500 0.5000

Output
SG = I-4m2, No. 119
uncorrected energy = -32.305 eV for the cell shown
ΔE_f = -0.735 eV/atom

=====

# 2
Nd8Ge5P | PBE | optimized geometry

Lattice parameters (Å, degrees): 7.8995 7.8995 7.8995 109.50 109.50 109.40
Sites, in units of the cell vectors:
Nd: 0.1238 0.7476 0.7554
Nd: 0.1254 0.2430 0.7506
Nd: 0.2524 0.0077 0.3761
Nd: 0.4924 0.3748 0.2494
Nd: 0.6252 0.8746 0.1176
Nd: 0.6316 0.8762 0.6239
Nd: 0.7570 0.5076 0.8824
Nd: 0.9923 0.3684 0.2446
Ge: 0.2505 0.6260 0.1262
Ge: 0.3740 0.5002 0.6245
Ge: 0.4998 0.1243 0.8738
Ge: 0.7500 0.2500 0.5000
Ge: 0.8757 0.7495 0.3755
P: 0.0000 0.0000 0.0000

Output
SG = I-4, No. 82
uncorrected energy = -79.116 eV for the cell shown
ΔE_f = -0.891 eV/atom

=====

# 3
MoPd2AuI | PBE | optimized geometry

Lattice parameters (Å, degrees): 4.9142 4.9142 5.1048 90.00 90.00 90.00
Sites, in units of the cell vectors:
Mo: 0.0000 0.0000 0.0000
Pd: 0.0000 0.5000 0.0000
Pd: 0.5000 0.0000 0.0000
Au: 0.5000 0.5000 0.5000
I: 0.0000 0.0000 0.5000

Output
SG = P4/mmm, No. 123
uncorrected energy = -20.544 eV for the cell shown
ΔE_f (raw) = 106.1 kJ per mole of atoms